Computed, not measured: an optimized crystal structure of Nd3AlSn2Pd9 at the PBE level of DFT.

Cell and atoms, written as POSCAR:
```
Nd3AlSn2Pd9
1.0
6.819 0.000 0.000
-3.410 5.906 0.000
0.000 0.000 8.860
Nd Al Sn Pd
3 1 2 9
Cartesian
0.000 0.000 0.000
0.000 3.937 6.474
3.410 1.969 2.386
0.000 0.000 4.430
0.000 3.937 1.801
3.410 1.969 7.059
-1.705 2.953 0.000
0.000 1.548 2.513
-2.069 5.132 2.513
1.341 0.774 6.346
3.410 0.000 0.000
1.705 2.953 0.000
2.069 5.132 2.513
5.479 0.774 6.346
3.410 4.358 6.346
```

Summary:
Uncorrected energy = -5.3217 eV/atom
ΔE_f = -45.3 kJ/mol of atoms
Crystal system = trigonal